Here is a relaxed AlCdAs2Se crystal from Alexandria via LeMat-Bulk. Energies are from PBE-GGA.

## Properties
V: 27.175 Å³/atom
size of the total moment: 0.00 μB per formula unit
density: 4500 kg/m³
space group: No. 123
E: -2.7748 eV per atom
offset from the most stable computed form: 349.4 meV per atom
formation energy from raw total energies: 713 meV per atom
DOS at the Fermi energy: 0.5085 states/eV per atom

Lattice parameters (Å, degrees): 5.142 5.142 5.138 90.00 90.00 90.00
Fractional positions:
Al: 0.000 0.000 0.000
Cd: 0.500 0.500 0.000
As: 0.000 0.500 0.500
As: 0.500 0.000 0.500
Se: 0.500 0.500 0.500

Here is a relaxed AlCdAs2Se crystal from Alexandria via LeMat-Bulk. Energies are from PBE-GGA.

## Properties
V: 23.725 Å³/atom
size of the total moment: 0.00 μB per formula unit
density: 5154 kg/m³
space group: No. 123
E: -3.1243 eV per atom
offset from the most stable computed form: 0.0 meV per atom
formation energy from raw total energies: 364 meV per atom
DOS at the Fermi energy: 0.9257 states/eV per atom

Lattice parameters (Å, degrees): 4.900 4.900 4.941 90.00 90.00 90.00
Fractional positions:
Al: 0.000 0.000 0.000
Cd: 0.500 0.500 0.500
As: 0.000 0.500 0.000
As: 0.500 0.000 0.000
Se: 0.000 0.000 0.500

Here is a relaxed AlCdAs2Se crystal from Alexandria via LeMat-Bulk. Energies are from PBE-GGA.

## Properties
V: 28.578 Å³/atom
size of the total moment: 0.97 μB per formula unit
density: 4279 kg/m³
space group: No. 123
E: -2.6047 eV per atom
offset from the most stable computed form: 519.5 meV per atom
formation energy from raw total energies: 884 meV per atom
DOS at the Fermi energy: 1.1509 states/eV per atom

Lattice parameters (Å, degrees): 5.172 5.172 5.343 90.00 90.00 90.00
Fractional positions:
Al: 0.000 0.000 0.000
Cd: 0.500 0.500 0.500
As: 0.000 0.500 0.500
As: 0.500 0.000 0.500
Se: 0.500 0.500 0.000